No. 1
# Gd3MgCd2Ga2Pt, relaxed, DFT PBE-GGA
data_Gd3MgCd2Ga2Pt
_chemical_formula_sum 'Gd6 Mg2 Cd4 Ga4 Pt2'
_symmetry_space_group_name_H-M 'A m m 2'
_symmetry_Int_Tables_number 38
_cell_length_a 4.381
_cell_length_b 12.770
_cell_length_c 7.279
_cell_angle_alpha 90.00
_cell_angle_beta 90.00
_cell_angle_gamma 90.00
loop_
_symmetry_equiv_pos_as_xyz
'x,y,z'
'-x,-y,z'
'-x,y,z'
'x,-y,z'
'x,y+1/2,z+1/2'
'-x,-y+1/2,z+1/2'
'-x,y+1/2,z+1/2'
'x,-y+1/2,z+1/2'
loop_
_atom_site_label
_atom_site_type_symbol
_atom_site_fract_x
_atom_site_fract_y
_atom_site_fract_z
Gd1 Gd 0.000 0.000 0.000
Gd2 Gd 0.000 0.205 0.393
Mg1 Mg 0.500 0.000 0.364
Cd1 Cd 0.500 0.125 0.719
Ga1 Ga 0.500 0.163 0.100
Pt1 Pt 0.000 0.000 0.583
# magnetic moment	0.00	μB per atom
# crystal system	orthorhombic

=====

No. 2
# LaZrAsO, relaxed, DFT PBE-GGA
data_LaZrAsO
_chemical_formula_sum 'La2 Zr2 As2 O2'
_symmetry_space_group_name_H-M 'P m c 21'
_symmetry_Int_Tables_number 26
_cell_length_a 4.211
_cell_length_b 7.458
_cell_length_c 6.149
_cell_angle_alpha 90.00
_cell_angle_beta 90.00
_cell_angle_gamma 90.00
loop_
_symmetry_equiv_pos_as_xyz
'x,y,z'
'-x,-y,z+1/2'
'-x,y,z'
'x,-y,z+1/2'
loop_
_atom_site_label
_atom_site_type_symbol
_atom_site_fract_x
_atom_site_fract_y
_atom_site_fract_z
La1 La 0.000 0.217 0.000
Zr1 Zr 0.500 0.396 0.564
As1 As 0.000 0.187 0.494
O1 O 0.500 0.351 0.903
# magnetic moment	0.00	μB per atom
# ΔE to the lowest computed polymorph	0.248	eV per atom
# crystal system	orthorhombic

=====

No. 3
# HfCoAgGe, relaxed, DFT PBE-GGA
data_HfCoAgGe
_chemical_formula_sum 'Hf4 Co4 Ag4 Ge4'
_symmetry_space_group_name_H-M 'F -4 3 m'
_symmetry_Int_Tables_number 216
_symmetry_space_group_name_Hall 'F -4 2 3'
_cell_length_a 6.330
_cell_length_b 6.330
_cell_length_c 6.330
_cell_angle_alpha 90.00
_cell_angle_beta 90.00
_cell_angle_gamma 90.00
loop_
_atom_site_label
_atom_site_type_symbol
_atom_site_fract_x
_atom_site_fract_y
_atom_site_fract_z
Hf1 Hf 0.000 0.000 0.000
Co1 Co 0.250 0.250 0.750
Ag1 Ag 0.250 0.250 0.250
Ge1 Ge 0.000 0.000 0.500
# magnetic moment	0.00	μB per atom
# ΔE to the lowest computed polymorph	0.000	eV per atom
# crystal system	cubic

=====

No. 4
# PtS2, relaxed, DFT PBE-GGA
data_PtS2
_chemical_formula_sum 'Pt2 S4'
_symmetry_space_group_name_H-M 'I 4/m m m'
_symmetry_Int_Tables_number 139
_symmetry_space_group_name_Hall '-I 4 2'
_cell_length_a 3.031
_cell_length_b 3.031
_cell_length_c 11.391
_cell_angle_alpha 90.00
_cell_angle_beta 90.00
_cell_angle_gamma 90.00
loop_
_atom_site_label
_atom_site_type_symbol
_atom_site_fract_x
_atom_site_fract_y
_atom_site_fract_z
Pt1 Pt 0.000 0.000 0.000
S1 S 0.000 0.000 0.368
# magnetic moment	0.00	μB per atom
# crystal system	tetragonal

=====

No. 5
# Tb2Sm3Er, relaxed, DFT PBE-GGA
data_Tb2Sm3Er
_chemical_formula_sum 'Tb8 Sm12 Er4'
_symmetry_space_group_name_H-M 'C m c m'
_symmetry_Int_Tables_number 63
_symmetry_space_group_name_Hall '-C 2c 2'
_cell_length_a 10.773
_cell_length_b 6.220
_cell_length_c 11.554
_cell_angle_alpha 90.00
_cell_angle_beta 90.00
_cell_angle_gamma 90.00
loop_
_atom_site_label
_atom_site_type_symbol
_atom_site_fract_x
_atom_site_fract_y
_atom_site_fract_z
Tb1 Tb 0.167 0.167 0.250
Sm1 Sm 0.000 0.000 0.000
Sm2 Sm 0.166 0.500 0.000
Er1 Er 0.000 0.333 0.750
# magnetic moment	0.00	μB per atom
# E_form	0.00	eV/atom
# crystal system	orthorhombic

=====

No. 6
# CsGdSO, relaxed, DFT PBE-GGA
data_CsGdSO
_chemical_formula_sum 'Cs2 Gd2 S2 O2'
_symmetry_space_group_name_H-M 'P m c 21'
_symmetry_Int_Tables_number 26
_cell_length_a 4.489
_cell_length_b 8.537
_cell_length_c 6.868
_cell_angle_alpha 90.00
_cell_angle_beta 90.00
_cell_angle_gamma 90.00
loop_
_symmetry_equiv_pos_as_xyz
'x,y,z'
'-x,-y,z+1/2'
'-x,y,z'
'x,-y,z+1/2'
loop_
_atom_site_label
_atom_site_type_symbol
_atom_site_fract_x
_atom_site_fract_y
_atom_site_fract_z
Cs1 Cs 0.000 0.189 0.000
Gd1 Gd 0.500 0.378 0.442
S1 S 0.000 0.215 0.507
O1 O 0.500 0.425 0.135
# magnetic moment	0.00	μB per atom
# ΔE to the lowest computed polymorph	0.047	eV per atom
# crystal system	orthorhombic

=====

No. 7
# YMgSbOs, relaxed, DFT PBE-GGA
data_YMgSbOs
_chemical_formula_sum 'Y4 Mg4 Sb4 Os4'
_symmetry_space_group_name_H-M 'F -4 3 m'
_symmetry_Int_Tables_number 216
_symmetry_space_group_name_Hall 'F -4 2 3'
_cell_length_a 6.812
_cell_length_b 6.812
_cell_length_c 6.812
_cell_angle_alpha 90.00
_cell_angle_beta 90.00
_cell_angle_gamma 90.00
loop_
_atom_site_label
_atom_site_type_symbol
_atom_site_fract_x
_atom_site_fract_y
_atom_site_fract_z
Y1 Y 0.000 0.000 0.000
Mg1 Mg 0.250 0.250 0.750
Sb1 Sb 0.250 0.250 0.250
Os1 Os 0.000 0.000 0.500
# magnetic moment	0.00	μB per atom
# ΔE to the lowest computed polymorph	0.048	eV per atom
# crystal system	cubic

=====

No. 8
# Ta4FePbN2, relaxed, DFT PBE-GGA
data_Ta4FePbN2
_chemical_formula_sum 'Ta4 Fe1 Pb1 N2'
_symmetry_space_group_name_H-M 'P -6 m 2'
_symmetry_Int_Tables_number 187
_symmetry_space_group_name_Hall 'P -6 2'
_cell_length_a 3.1304
_cell_length_b 3.1304
_cell_length_c 13.8245
_cell_angle_alpha 90.00
_cell_angle_beta 90.00
_cell_angle_gamma 120.00
loop_
_atom_site_label
_atom_site_type_symbol
_atom_site_fract_x
_atom_site_fract_y
_atom_site_fract_z
Ta1 Ta 0.0000 0.0000 0.1410
Ta2 Ta 0.3333 0.6667 0.3177
Fe1 Fe 0.3333 0.6667 0.0000
Pb1 Pb 0.0000 0.0000 0.5000
N1 N 0.6667 0.3333 0.2286
# magnetic moment	0.14	μB per atom
# crystal system	hexagonal

=====

no.,VASP energy (eV/atom)
1,-3.9178
2,-7.5586
3,-6.1733
4,-4.2381
5,-4.6641
6,-5.8190
7,-5.8879
8,-9.7989